Record 1
Compound: ZrV3Re
Source: Alexandria
Functional: PBE
Structure: optimized geometry

## Properties
V: 17.812 A^3/atom
SG: Pm-3m, No. 221
DFT total energy: -38.5 eV per cell
DFT formation energy: 1979 meV/atom

a b c (Å): 4.466 4.466 4.466
angles (deg): 90.00 90.00 90.00
Last column: magnetic moment on the atom in μB.
Sites, in units of the cell vectors:
Zr: 0.000 0.000 0.000  -0.01
V: 0.000 0.000 0.500  0.31
Re: 0.500 0.500 0.500  -0.38
V: 0.000 0.500 0.000  0.31
V: 0.500 0.000 0.000  0.31

---

Record 2
Compound: ZrV4Re
Source: Alexandria
Functional: PBE
Structure: optimized geometry

## Properties
V: 15.092 A^3/atom
SG: F-43m, No. 216
DFT total energy: -58.0 eV per cell
DFT formation energy: -90 meV/atom

a b c (Å): 5.040 5.040 5.040
angles (deg): 60.00 60.00 60.00
Sites, in units of the cell vectors:
Zr: 0.250 0.250 0.250
V: 0.625 0.625 0.625
V: 0.625 0.125 0.625
V: 0.625 0.625 0.125
Re: 0.000 0.000 0.000
V: 0.125 0.625 0.625

---

Record 3
Compound: ZrVRe2
Source: Alexandria
Functional: PBE
Structure: optimized geometry

## Properties
V: 16.075 A^3/atom
SG: P4/mmm, No. 123
DFT total energy: -43.2 eV per cell
DFT formation energy: -149 meV/atom

a b c (Å): 3.197 4.485 4.485
angles (deg): 90.00 90.00 90.00
Sites, in units of the cell vectors:
V: 0.500 0.500 0.500
Zr: 0.500 0.000 0.000
Re: 0.000 0.500 0.000
Re: 0.000 0.000 0.500

---

Record 4
Compound: ZrV2Re
Source: Alexandria
Functional: PBE
Structure: optimized geometry

## Properties
V: 15.966 A^3/atom
SG: P4/mmm, No. 123
DFT total energy: -39.6 eV per cell
DFT formation energy: -87 meV/atom

a b c (Å): 3.087 3.087 6.704
angles (deg): 90.00 90.00 90.00
Sites, in units of the cell vectors:
V: 0.000 0.000 0.218
Re: 0.500 0.500 0.000
V: 0.000 0.000 0.782
Zr: 0.500 0.500 0.500